(1)
{
  "formula": "Pr6Nd2YTh",
  "functional": "GGA-PBE",
  "state": "relaxed",
  "cell": [[4.662, -7.653, 0.000], [4.662, 7.653, 0.000], [-1.730, 0.000, 9.946]],
  "species": ["Pr", "Pr", "Pr", "Pr", "Pr", "Pr", "Pr", "Pr", "Pr", "Pr", "Pr", "Pr", "Nd", "Nd", "Nd", "Nd", "Y", "Y", "Th", "Th"],
  "fractional_positions": [[0.014, 0.578, 0.188], [0.111, 0.748, 0.555], [0.252, 0.889, 0.945], [0.299, 0.505, 0.380], [0.422, 0.986, 0.312], [0.495, 0.701, 0.120], [0.505, 0.299, 0.880], [0.578, 0.014, 0.688], [0.701, 0.495, 0.620], [0.748, 0.111, 0.055], [0.889, 0.252, 0.445], [0.986, 0.422, 0.812], [0.194, 0.285, 0.045], [0.285, 0.194, 0.545], [0.715, 0.806, 0.455], [0.806, 0.715, 0.955], [0.407, 0.593, 0.750], [0.593, 0.407, 0.250], [0.019, 0.981, 0.250], [0.981, 0.019, 0.750]],
  "final_energy_ev_per_atom": -5.07,
  "ef_ev_per_atom": 0.1385,
  "density_g_cm3": 6.81,
  "total_magnetization_mub_per_cell": 0.0,
  "sg": "No. 15"
}

***

(2)
{
  "formula": "PrNd3Y6Th2",
  "functional": "GGA-PBE",
  "state": "relaxed",
  "cell": [[3.140, -5.436, 0.000], [3.140, 5.436, 0.000], [-2.098, 0.000, 11.655]],
  "species": ["Pr", "Nd", "Nd", "Nd", "Y", "Y", "Y", "Y", "Y", "Y", "Th", "Th"],
  "fractional_positions": [[0.000, 0.000, 0.000], [0.166, 0.834, 0.500], [0.500, 0.500, 0.500], [0.834, 0.166, 0.500], [0.082, 0.421, 0.246], [0.256, 0.256, 0.754], [0.421, 0.082, 0.246], [0.579, 0.918, 0.754], [0.744, 0.744, 0.246], [0.918, 0.579, 0.754], [0.333, 0.667, 0.000], [0.667, 0.333, 0.000]],
  "final_energy_ev_per_atom": -6.03,
  "ef_ev_per_atom": 0.0242,
  "density_g_cm3": 6.56,
  "total_magnetization_mub_per_cell": 0.0,
  "sg": "No. 12"
}